[1]
Entry from the Open Quantum Materials Database: an optimized crystal structure of Hf4Ta2Tl3N3 (PBE).

Cell lengths 5.606, 5.606, 14.993 Å; angles 79.31, 79.31, 60.15 degrees
Atoms (fractional coordinates):
Tl 0.585 0.739 0.749
Tl 0.739 0.585 0.249
Ta 0.526 0.365 0.922
Tl 0.092 0.908 0.250
Hf 0.024 0.198 0.416
Hf 0.198 0.024 0.916
N 0.500 0.000 0.000
Hf 0.695 0.858 0.416
N 0.672 0.155 0.500
Tl 0.261 0.415 0.751
Ta 0.365 0.526 0.422
Tl 0.415 0.261 0.251
Hf 0.858 0.694 0.916
Hf 0.802 0.976 0.084
Tl 0.908 0.092 0.750
N 0.845 0.328 0.000
Hf 0.305 0.142 0.584
Ta 0.474 0.635 0.078
N 0.155 0.672 0.000
Hf 0.976 0.802 0.584
Hf 0.142 0.306 0.084
N 0.000 0.500 0.500
N 0.328 0.845 0.500
Ta 0.635 0.474 0.578

Calculated values
DFT total energy (eV per atom): -8.669

***

[2]
Entry from the Open Quantum Materials Database: an optimized crystal structure of Lu2CoTc (PBE).

Cell lengths 4.678, 4.678, 4.678 Å; angles 60.00, 60.00, 60.00 degrees
Atoms (fractional coordinates):
Lu 0.500 0.500 0.500
Lu 0.250 0.250 0.250
Co 0.750 0.750 0.750
Tc 0.000 0.000 0.000

Calculated values
DFT total energy (eV per atom): -6.368
Energy relative to the elements (eV per atom): 0.261

***

[3]
Entry from the Open Quantum Materials Database: an optimized crystal structure of GaTe2Ir (PBE).

Cell lengths 4.921, 4.921, 4.921 Å; angles 60.00, 60.00, 60.00 degrees
Atoms (fractional coordinates):
Te 0.000 0.000 0.000
Ir 0.250 0.250 0.250
Ga 0.500 0.500 0.500
Te 0.750 0.750 0.750

Calculated values
DFT total energy (eV per atom): -3.945

***

Repeat the second record exactly.
Entry from the Open Quantum Materials Database: an optimized crystal structure of Lu2CoTc (PBE).

Cell lengths 4.678, 4.678, 4.678 Å; angles 60.00, 60.00, 60.00 degrees
Atoms (fractional coordinates):
Lu 0.500 0.500 0.500
Lu 0.250 0.250 0.250
Co 0.750 0.750 0.750
Tc 0.000 0.000 0.000

Calculated values
DFT total energy (eV per atom): -6.368
Energy relative to the elements (eV per atom): 0.261

***

The highest DFT total energy belongs to which entry? GaTe2Ir

***

Number 1 is which compound? Hf4Ta2Tl3N3

***

Which of these has the lowest DFT total energy? Hf4Ta2Tl3N3